# PmHfBeN3 PBE-GGA relaxed
# crystal system	monoclinic
# raw formation energy	-1.4489	eV per atom
# V	74	Å³/f.u.
data_PmHfBeN3
_cell_length_a 6.855
_cell_length_b 3.232
_cell_length_c 6.912
_cell_angle_alpha 90.00
_cell_angle_beta 103.43
_cell_angle_gamma 90.00
_symmetry_space_group_name_H-M 'P 1 21/m 1'
_symmetry_Int_Tables_number 11
loop_
_symmetry_equiv_pos_as_xyz
'x,y,z'
'-x,-y,-z'
'-x,y+1/2,-z'
'x,-y+1/2,z'
loop_
_atom_site_label
_atom_site_type_symbol
_atom_site_fract_x
_atom_site_fract_y
_atom_site_fract_z
Pm1 Pm 0.225 0.250 0.189
Hf1 Hf 0.169 0.250 0.663
Be1 Be 0.401 0.750 0.921
N1 N 0.145 0.750 0.874
N2 N 0.164 0.750 0.439
N3 N 0.482 0.250 0.832